Record 1
Computed, not measured: a relaxed structure of HfNpGa4 at the PBE level of DFT.

energy of formation from the pure elements = -0.9 eV/f.u.

Lattice parameters (Å, degrees): 7.6290 7.6290 7.6290 90.00 90.00 90.00
Closest atoms and distances in Å follow each position.
Space group F-43m (No. 216)
One atom of each set of equivalent atoms:
Hf 0.0000 0.0000 0.0000 [4 per cell]  12 Ga 3.16, 4 Np 3.30
Np 0.2500 0.2500 0.7500 [4 per cell]  12 Ga 3.16, 4 Hf 3.30
Ga 0.1252 0.1252 0.3748 [16 per cell]  6 Ga 2.69-2.70

Record 2
Computed, not measured: a relaxed structure of Hf2NpGa9 at the PBE level of DFT.

energy of formation from the pure elements = -3.9 eV/f.u.

Lattice parameters (Å, degrees): 4.1500 4.1500 12.4786 90.00 90.00 90.00
Closest atoms and distances in Å follow each position.
Space group P4/mmm (No. 123)
One atom of each set of equivalent atoms:
Hf 0.0000 0.0000 0.1603 [2 per cell]  12 Ga 2.88-2.94
Np 0.0000 0.0000 0.5000 [1 per cell]  12 Ga 2.93-2.99
Ga 0.0000 0.5000 0.0000 [2 per cell]  4 Hf 2.88, 8 Ga 2.93
Ga 0.0000 0.5000 0.3272 [4 per cell]  8 Ga 2.89-2.99, 2 Hf 2.94, 2 Np 2.99
Ga 0.5000 0.5000 0.1656 [2 per cell]  8 Ga 2.89-2.93, 4 Hf 2.94
Ga 0.5000 0.5000 0.5000 [1 per cell]  4 Np 2.93, 8 Ga 2.99

Record 3
Computed, not measured: a relaxed structure of HfNp3Ga12 at the PBE level of DFT.

energy of formation from the pure elements = -4.1 eV/f.u.

Lattice parameters (Å, degrees): 4.2105 4.2105 16.9706 90.00 90.00 90.00
Closest atoms and distances in Å follow each position.
Space group P4/mmm (No. 123)
One atom of each set of equivalent atoms:
Hf 0.0000 0.0000 0.0000 [1 per cell]  12 Ga 2.93-2.98
Np 0.0000 0.0000 0.2439 [2 per cell]  12 Ga 2.98-3.04
Np 0.0000 0.0000 0.5000 [1 per cell]  12 Ga 2.98-3.02
Ga 0.0000 0.5000 0.1199 [4 per cell]  2 Hf 2.93, 8 Ga 2.93-3.03, 2 Np 2.98
Ga 0.0000 0.5000 0.3728 [4 per cell]  8 Ga 2.98-3.02, 4 Np 3.02-3.04
Ga 0.5000 0.5000 0.0000 [1 per cell]  8 Ga 2.93, 4 Hf 2.98
Ga 0.5000 0.5000 0.2482 [2 per cell]  4 Np 2.98, 8 Ga 2.98-3.03
Ga 0.5000 0.5000 0.5000 [1 per cell]  4 Np 2.98, 8 Ga 3.02

Record 4
Computed, not measured: a relaxed structure of Hf2NpGa7 at the PBE level of DFT.

energy of formation from the pure elements = 1.6 eV/f.u.

Lattice parameters (Å, degrees): 7.1973 13.3506 4.7090 90.00 90.00 90.00
Closest atoms and distances in Å follow each position.
Space group Cmmm (No. 65)
One atom of each set of equivalent atoms:
Hf 0.0000 0.2220 0.0000 [4 per cell]  7 Ga 2.71-2.96
Np 0.0000 0.5000 0.5000 [2 per cell]  8 Ga 3.04
Ga 0.0000 0.0000 0.0000 [2 per cell]  8 Ga 2.62-2.76
Ga 0.0000 0.1072 0.5000 [4 per cell]  3 Ga 2.76-2.86, 2 Hf 2.81
Ga 0.1888 0.3979 0.0000 [8 per cell]  3 Ga 2.62-2.73, 2 Hf 2.71-2.75

Record 5
Computed, not measured: a relaxed structure of HfZrNpGa at the PBE level of DFT.

energy of formation from the pure elements = 0.6 eV/f.u.

Lattice parameters (Å, degrees): 6.9399 6.9399 6.9399 90.00 90.00 90.00
Closest atoms and distances in Å follow each position.
Space group F-43m (No. 216)
One atom of each set of equivalent atoms:
Hf 0.0000 0.0000 0.0000 [4 per cell]  4 Np 3.01, 4 Ga 3.01
Zr 0.0000 0.0000 0.5000 [4 per cell]  4 Np 3.01, 4 Ga 3.01
Np 0.2500 0.2500 0.2500 [4 per cell]  4 Zr 3.01, 4 Hf 3.01
Ga 0.2500 0.2500 0.7500 [4 per cell]  4 Zr 3.01, 4 Hf 3.01

Record 6
Computed, not measured: a relaxed structure of HfGaO at the PBE level of DFT.

uncorrected formation energy = -1.5321 eV per atom

Lattice parameters (Å, degrees): 3.1504 17.7709 3.8614 90.00 90.00 90.00
Closest atoms and distances in Å follow each position.
Space group Cmcm (No. 63)
One atom of each set of equivalent atoms:
Hf 0.0000 0.1814 0.2500 [4 per cell]  2 O 2.06
Ga 0.0000 0.4508 0.7500 [4 per cell]  2 Ga 2.60, 2 Hf 2.83
O 0.0000 0.2212 0.7500 [4 per cell]  2 Hf 2.06

| no. | theoretical density (g/cm³) | N(E_F) (states/eV/f.u.) |
| --- | --- | --- |
| 1 | 10.39 | 12.40 |
| 2 | 9.44 | 11.14 |
| 3 | 9.53 | 23.91 |
| 4 | 7.94 | 12.38 |
| 5 | 11.46 | 11.42 |
| 6 | 8.12 | 2.12 |